[1]
Compound: KTa
Source: the Alexandria database
Functional: GGA-PBE
Structure: optimized geometry

a b c (Å): 6.0191 7.0464 12.9767
angles (deg): 90.00 90.00 90.00
Closest atoms and distances in Å follow each position.
Space group Imma (No. 74)
Unique sites:
K: 0.0000 0.0000 0.0000 [4 per cell]  2 K 3.52, 4 Ta 3.71
K: 0.0000 0.2500 0.3146 [4 per cell]  2 K 3.45, 3 Ta 3.66-3.71
Ta: 0.0000 0.2500 0.5970 [4 per cell]  2 Ta 2.49
Ta: 0.2500 0.2500 0.7500 [4 per cell]  2 Ta 2.49

Excess energy over the best structure of this formula in the dataset, meV per atom: 619.7

---

[2]
Compound: KTa
Source: the Alexandria database
Functional: GGA-PBE
Structure: optimized geometry

a b c (Å): 10.1854 10.1854 10.1854
angles (deg): 90.00 90.00 90.00
Closest atoms and distances in Å follow each position.
Space group Pm-3n (No. 223)
Unique sites:
K: 0.0000 0.2500 0.5000 [6 per cell]  4 Ta 3.60
Ta: 0.0000 0.5000 0.2500 [6 per cell]  4 K 3.60

Excess energy over the best structure of this formula in the dataset, meV per atom: 2701.0

---

[3]
Compound: KTa
Source: the Alexandria database
Functional: GGA-PBE
Structure: optimized geometry

a b c (Å): 9.5899 2.8889 9.9572
angles (deg): 90.00 91.35 90.00
Closest atoms and distances in Å follow each position.
Space group C2/m (No. 12)
Unique sites:
K: 0.1196 0.0000 0.3054 [4 per cell]  2 K 2.89
Ta: 0.1369 0.5000 0.9595 [4 per cell]  5 Ta 2.71-2.89

Excess energy over the best structure of this formula in the dataset, meV per atom: 320.4

---

[4]
Compound: KTa
Source: the Alexandria database
Functional: GGA-PBE
Structure: optimized geometry

a b c (Å): 3.1828 5.5148 26.2153
angles (deg): 90.00 90.00 90.00
Closest atoms and distances in Å follow each position.
Space group Imm2 (No. 44)
Unique sites:
K: 0.0000 0.0000 0.0000 [2 per cell]  2 K 3.18
K: 0.0000 0.0000 0.3889 [2 per cell]  2 K 3.18, 2 Ta 3.22
K: 0.0000 0.5000 0.1379 [2 per cell]  2 K 3.18
Ta: 0.0000 0.2422 0.7605 [4 per cell]  4 Ta 2.67-2.84
Ta: 0.0000 0.5000 0.3252 [2 per cell]  4 Ta 2.68

Excess energy over the best structure of this formula in the dataset, meV per atom: 200.2

---

[5]
Compound: K3Ta
Source: the Alexandria database
Functional: GGA-PBE
Structure: optimized geometry

a b c (Å): 3.3138 3.3138 14.2319
angles (deg): 90.00 90.00 90.00
Closest atoms and distances in Å follow each position.
Space group P4/mmm (No. 123)
Unique sites:
K: 0.0000 0.0000 0.0000 [1 per cell]  4 K 3.31
K: 0.5000 0.5000 0.2965 [2 per cell]  4 K 3.31
Ta: 0.0000 0.0000 0.5000 [1 per cell]  4 Ta 3.31

Excess energy over the best structure of this formula in the dataset, meV per atom: 387.3

---

[6]
Compound: K3Ta
Source: the Alexandria database
Functional: GGA-PBE
Structure: optimized geometry

a b c (Å): 3.4434 13.3593 7.3876
angles (deg): 90.00 90.00 90.00
Closest atoms and distances in Å follow each position.
Space group Imm2 (No. 44)
Unique sites:
K: 0.0000 0.0000 0.0000 [2 per cell]  2 K 3.44
K: 0.0000 0.2300 0.3230 [4 per cell]  2 K 3.44, 2 Ta 3.82
Ta: 0.0000 0.5000 0.0247 [2 per cell]  2 Ta 3.44, 4 K 3.82

Excess energy over the best structure of this formula in the dataset, meV per atom: 510.2

---

[7]
Compound: KTa3
Source: the Alexandria database
Functional: GGA-PBE
Structure: optimized geometry

a b c (Å): 2.9550 2.9550 34.5819
angles (deg): 90.00 90.00 120.00
Closest atoms and distances in Å follow each position.
Space group R-3m (No. 166, hexagonal axes)
Unique sites:
K: 0.0000 0.0000 0.0000 [3 per cell]  6 K 2.95
Ta: 0.0000 0.0000 0.2388 [6 per cell]  9 Ta 2.95-3.02
Ta: 0.0000 0.0000 0.5000 [3 per cell]  12 Ta 2.95-3.02

Excess energy over the best structure of this formula in the dataset, meV per atom: 46.4

---

[8]
Compound: K3Ta
Source: the Alexandria database
Functional: GGA-PBE
Structure: optimized geometry

a b c (Å): 10.6420 18.2277 4.3763
angles (deg): 90.00 90.00 90.00
Closest atoms and distances in Å follow each position.
Space group Cmcm (No. 63)
Unique sites:
K: 0.0000 0.2120 0.2500 [4 per cell]  2 K 3.76, 2 Ta 3.97
K: 0.2110 0.4067 0.7500 [8 per cell]  3 K 3.76-4.04, 3 Ta 3.81-3.94
Ta: 0.0000 0.0303 0.7500 [4 per cell]  2 Ta 2.45

Excess energy over the best structure of this formula in the dataset, meV per atom: 0.0

---

[9]
Compound: KTa
Source: the Alexandria database
Functional: GGA-PBE
Structure: optimized geometry

a b c (Å): 4.5166 4.5166 27.3748
angles (deg): 90.00 90.00 120.00
Closest atoms and distances in Å follow each position.
Space group R-3m (No. 166, hexagonal axes)
Unique sites:
K: 0.0000 0.0000 0.0946 [6 per cell]  6 Ta 3.67-3.68
Ta: 0.0000 0.0000 0.3335 [6 per cell]  3 Ta 2.61

Excess energy over the best structure of this formula in the dataset, meV per atom: 713.2

---

[10]
Compound: KTa
Source: the Alexandria database
Functional: GGA-PBE
Structure: optimized geometry

a b c (Å): 3.0260 5.0268 6.6118
angles (deg): 90.00 90.00 90.00
Closest atoms and distances in Å follow each position.
Space group Cmmm (No. 65)
Unique sites:
K: 0.0000 0.0000 0.0000 [2 per cell]  6 K 2.93-3.03
Ta: 0.0000 0.5000 0.5000 [2 per cell]  6 Ta 2.93-3.03

Excess energy over the best structure of this formula in the dataset, meV per atom: 562.3

---

[11]
Compound: KTa5
Source: the Alexandria database
Functional: GGA-PBE
Structure: optimized geometry

a b c (Å): 5.0719 9.8079 4.9141
angles (deg): 90.00 90.00 90.00
Closest atoms and distances in Å follow each position.
Space group Cmmm (No. 65)
Unique sites:
K: 0.0000 0.0000 0.0000 [2 per cell]  10 Ta 3.03-3.24
Ta: 0.0000 0.1982 0.5000 [4 per cell]  5 Ta 2.73-2.96
Ta: 0.0000 0.3301 0.0000 [4 per cell]  6 Ta 2.78-2.98, 2 K 3.03
Ta: 0.0000 0.5000 0.5000 [2 per cell]  10 Ta 2.96-3.20

Excess energy over the best structure of this formula in the dataset, meV per atom: 182.8

---

[12]
Compound: KTa
Source: the Alexandria database
Functional: GGA-PBE
Structure: optimized geometry

a b c (Å): 6.1349 6.1349 8.8359
angles (deg): 90.00 90.00 120.00
Closest atoms and distances in Å follow each position.
Space group P6_3/mmc (No. 194)
Unique sites:
K: 0.0000 0.0000 0.2500 [2 per cell]  3 K 3.54, 6 Ta 3.72
K: 0.3333 0.6667 0.2500 [2 per cell]  2 Ta 3.27, 3 K 3.54
Ta: 0.3333 0.6667 0.6202 [4 per cell]  1 Ta 2.29

Excess energy over the best structure of this formula in the dataset, meV per atom: 1191.7

---

no.,electronic total energy (eV/atom)
1,-5.11
2,-3.03
3,-5.41
4,-5.53
5,-2.62
6,-2.50
7,-8.39
8,-3.01
9,-5.02
10,-5.17
11,-9.15
12,-4.54